Here is crystalline PuThV at its relaxed geometry from the Alexandria database. Energies are from PBE-GGA.

a b c (Å): 3.369 3.369 7.461
angles (deg): 76.95 76.95 60.00
Last column: magnetic moment on the atom in μB.
Atoms (fractional coordinates):
Th 0.322 0.322 0.035  -0.05
V 0.548 0.548 0.355  -1.44
Pu 0.115 0.115 0.654  5.14

space group	R3m, No. 160
density of states at the Fermi level	2.484	states/eV per atom
energy of formation from the pure elements	455	meV per atom
spin magnetization	1.231	μB per atom
electronic total energy	-29.5	eV per cell